The following is a PBE calculation of a relaxed Dy3Zn4Pd2 crystal, from Alexandria via LeMat-Bulk.

The space group is C2/m (No. 12) and the conventional cell measures 8.962, 4.808 and 8.434 Å, with angles of 90.00, 99.54 and 90.00 degrees. The distinct sites, in fractional coordinates, are Dy at (0.000, 0.000, 0.000), Dy at (0.122, 0.500, 0.713), Zn at (0.070, 0.000, 0.376), Zn at (0.190, 0.500, 0.076) and Pd at (0.211, 0.500, 0.383).

The calculation puts the density of states at the Fermi level at 5.968 states/eV/f.u. As for the energy of formation: -0.536 eV/atom. Its distance to the lowest polymorph of the same formula is 55 meV per atom.